[1]
Material: CeSmDyPu
Method: DFT, PBE-GGA
State: optimized geometry Values from VASP.

```
&SYSTEM
  ibrav = 0, nat = 4, ntyp = 4
/
ATOMIC_SPECIES
Dy 162.50 Dy.upf
Ce 140.12 Ce.upf
Sm 150.36 Sm.upf
Pu 244.00 Pu.upf
CELL_PARAMETERS angstrom
5.603 0.000 0.000
2.802 4.853 0.000
2.802 1.618 4.575
ATOMIC_POSITIONS crystal
Dy 0.750 0.750 0.750
Ce 0.000 0.000 0.000
Sm 0.250 0.250 0.250
Pu 0.500 0.500 0.500
```

**Final energy**: -28.47 eV per cell

***

[2]
Material: Ni2PdRhC
Method: DFT, PBE-GGA
State: optimized geometry Values from VASP.

```
&SYSTEM
  ibrav = 0, nat = 5, ntyp = 4
/
ATOMIC_SPECIES
Ni 58.69 Ni.upf
C 12.01 C.upf
Rh 102.91 Rh.upf
Pd 106.42 Pd.upf
CELL_PARAMETERS angstrom
3.849 0.000 0.000
0.000 3.849 0.000
0.000 0.000 4.007
ATOMIC_POSITIONS crystal
Ni 0.000 0.500 0.000
Ni 0.500 0.000 0.000
C 0.000 0.000 0.000
Rh 0.000 0.000 0.500
Pd 0.500 0.500 0.500
```

**Final energy**: -32.48 eV per cell

***

[3]
Material: HfScCdTc
Method: DFT, PBE-GGA
State: optimized geometry Values from VASP.

```
&SYSTEM
  ibrav = 0, nat = 4, ntyp = 4
/
ATOMIC_SPECIES
Sc 44.96 Sc.upf
Hf 178.49 Hf.upf
Tc 98.00 Tc.upf
Cd 112.41 Cd.upf
CELL_PARAMETERS angstrom
-2.386 0.938 4.016
-4.691 0.818 -0.152
-3.038 -3.214 1.773
ATOMIC_POSITIONS crystal
Sc 0.000 0.000 0.000
Hf 0.500 0.500 0.500
Tc 0.250 0.250 0.250
Cd 0.750 0.750 0.750
```

**Distance to the lowest polymorph of the same formula**: 0.1452 eV/atom